(1)
## DyY15Ho4 (PBE)

Data for crystalline DyY15Ho4 at its relaxed geometry.

Properties
Theoretical density, g cm⁻³: 5.610
DFT total energy, eV/atom: -5.970
Symmetry: P4/mmm, No. 123
Formation energy from the elements, eV/atom: 0.024
Spin magnetization, Bohr magnetons per cell: 0.00

Lattice parameters (Å, degrees): 5.0338 5.0338 25.1825 90.00 90.00 90.00
Last column: nearest neighbours and their distance in Å.
Sites, in units of the cell vectors:
1 Dy 0.0000 0.0000 0.0000  12 Y 3.56
2 Y 0.5000 0.5000 0.0000  4 Dy 3.56, 8 Y 3.56
3 Y 0.5000 0.5000 0.2002  8 Y 3.56, 4 Ho 3.56
4 Y 0.5000 0.5000 0.4001  8 Y 3.56, 4 Ho 3.56
5 Y 0.5000 0.5000 0.5999  8 Y 3.56, 4 Ho 3.56
6 Y 0.5000 0.5000 0.7998  8 Y 3.56, 4 Ho 3.56
7 Y 0.5000 0.0000 0.1002  2 Ho 3.56, 8 Y 3.56, 2 Dy 3.56
8 Y 0.5000 0.0000 0.3001  8 Y 3.56, 4 Ho 3.56
9 Y 0.5000 0.0000 0.5000  4 Ho 3.56, 8 Y 3.56
10 Y 0.5000 0.0000 0.6999  8 Y 3.56, 4 Ho 3.56
11 Y 0.5000 0.0000 0.8998  2 Ho 3.56, 8 Y 3.56, 2 Dy 3.56
12 Y 0.0000 0.5000 0.1002  2 Ho 3.56, 8 Y 3.56, 2 Dy 3.56
13 Y 0.0000 0.5000 0.3001  8 Y 3.56, 4 Ho 3.56
14 Y 0.0000 0.5000 0.5000  4 Ho 3.56, 8 Y 3.56
15 Y 0.0000 0.5000 0.6999  8 Y 3.56, 4 Ho 3.56
16 Y 0.0000 0.5000 0.8998  2 Ho 3.56, 8 Y 3.56, 2 Dy 3.56
17 Ho 0.0000 0.0000 0.2002  12 Y 3.56
18 Ho 0.0000 0.0000 0.4001  12 Y 3.56
19 Ho 0.0000 0.0000 0.5999  12 Y 3.56
20 Ho 0.0000 0.0000 0.7998  12 Y 3.56


(2)
## DyY3Ho2 (PBE)

Data for crystalline DyY3Ho2 at its relaxed geometry.

Properties
Theoretical density, g cm⁻³: 6.484
DFT total energy, eV/atom: -5.405
Symmetry: C2/m, No. 12
Formation energy from the elements, eV/atom: 0.120
Spin magnetization, Bohr magnetons per cell: 0.00

Lattice parameters (Å, degrees): 3.4981 9.0253 12.8833 78.32 82.20 78.83
Last column: nearest neighbours and their distance in Å.
Sites, in units of the cell vectors:
1 Dy 0.4381 0.4802 0.6436  4 Ho 3.46-3.59, 3 Dy 3.50-3.62, 4 Y 3.63-3.68
2 Dy 0.5619 0.5198 0.3564  4 Ho 3.46-3.59, 3 Dy 3.50-3.62, 4 Y 3.63-3.68
3 Y 0.0387 0.1372 0.7854  3 Ho 3.48-3.66, 8 Y 3.50-3.75, 2 Dy 3.68
4 Y 0.9613 0.8628 0.2146  3 Ho 3.48-3.66, 8 Y 3.50-3.75, 2 Dy 3.68
5 Y 0.5997 0.8260 0.9746  6 Y 3.26-3.59, 3 Ho 3.45-3.47
6 Y 0.4003 0.1740 0.0254  6 Y 3.26-3.59, 3 Ho 3.45-3.47
7 Y 0.7406 0.8128 0.7060  4 Ho 3.38-3.46, 5 Y 3.45-3.66, 2 Dy 3.63
8 Y 0.2594 0.1872 0.2940  4 Ho 3.38-3.46, 5 Y 3.45-3.66, 2 Dy 3.63
9 Ho 0.8186 0.4795 0.8833  5 Y 3.38-3.48, 4 Ho 3.50-3.53, 2 Dy 3.52
10 Ho 0.1814 0.5205 0.1167  5 Y 3.38-3.48, 4 Ho 3.50-3.53, 2 Dy 3.52
11 Ho 0.6577 0.1531 0.5314  5 Y 3.41-3.66, 4 Ho 3.44-3.50, 2 Dy 3.46-3.59
12 Ho 0.3423 0.8469 0.4686  5 Y 3.41-3.66, 4 Ho 3.44-3.50, 2 Dy 3.46-3.59


(3)
## Dy6YHo (PBE)

Data for crystalline Dy6YHo at its relaxed geometry.

Properties
Theoretical density, g cm⁻³: 8.096
DFT total energy, eV/atom: -4.810
Symmetry: P4/mmm, No. 123
Formation energy from the elements, eV/atom: 0.021
Spin magnetization, Bohr magnetons per cell: 0.00

Lattice parameters (Å, degrees): 5.0133 5.0133 10.0275 90.00 90.00 90.00
Last column: nearest neighbours and their distance in Å.
Sites, in units of the cell vectors:
1 Dy 0.5000 0.5000 0.0000  8 Dy 3.54, 4 Ho 3.54
2 Dy 0.5000 0.5000 0.5000  4 Y 3.54, 8 Dy 3.55
3 Dy 0.5000 0.0000 0.2488  8 Dy 3.54-3.55, 2 Ho 3.54, 2 Y 3.55
4 Dy 0.5000 0.0000 0.7512  8 Dy 3.54-3.55, 2 Ho 3.54, 2 Y 3.55
5 Dy 0.0000 0.5000 0.2488  8 Dy 3.54-3.55, 2 Ho 3.54, 2 Y 3.55
6 Dy 0.0000 0.5000 0.7512  8 Dy 3.54-3.55, 2 Ho 3.54, 2 Y 3.55
7 Y 0.0000 0.0000 0.5000  12 Dy 3.54-3.55
8 Ho 0.0000 0.0000 0.0000  12 Dy 3.54


(4)
## DyY7Ho4 (PBE)

Data for crystalline DyY7Ho4 at its relaxed geometry.

Properties
Theoretical density, g cm⁻³: 6.137
DFT total energy, eV/atom: -5.437
Symmetry: C2/m, No. 12
Formation energy from the elements, eV/atom: 0.244
Spin magnetization, Bohr magnetons per cell: 0.53

Lattice parameters (Å, degrees): 5.8622 9.5834 8.5473 61.62 69.94 72.19
Last column: nearest neighbours and their distance in Å.
Sites, in units of the cell vectors:
1 Dy 0.0000 0.0000 0.0000  4 Y 2.93-3.07
2 Y 0.7865 0.8785 0.5486  6 Y 3.34-3.65, 3 Ho 3.61-3.68
3 Y 0.2135 0.1215 0.4514  6 Y 3.34-3.65, 3 Ho 3.61-3.68
4 Y 0.0808 0.5597 0.2787  2 Y 3.26-3.42, 3 Ho 3.42-3.53
5 Y 0.9192 0.4403 0.7213  2 Y 3.26-3.42, 3 Ho 3.42-3.53
6 Y 0.2101 0.7666 0.8131  1 Dy 3.07, 4 Ho 3.18-3.43, 2 Y 3.34-3.42
7 Y 0.5000 0.0000 0.0000  2 Dy 2.93
8 Y 0.7899 0.2334 0.1869  1 Dy 3.07, 4 Ho 3.18-3.43, 2 Y 3.34-3.42
9 Ho 0.5730 0.3004 0.5535  4 Y 3.25-3.61, 1 Ho 3.38
10 Ho 0.4270 0.6996 0.4465  4 Y 3.25-3.61, 1 Ho 3.38
11 Ho 0.6724 0.6147 0.0405  7 Y 3.18-3.53
12 Ho 0.3276 0.3853 0.9595  7 Y 3.18-3.53


(5)
## Dy2Y2Ho5 (PBE)

Data for crystalline Dy2Y2Ho5 at its relaxed geometry.

Properties
Theoretical density, g cm⁻³: 7.608
DFT total energy, eV/atom: -4.782
Symmetry: Ima2, No. 46
Formation energy from the elements, eV/atom: 0.221
Spin magnetization, Bohr magnetons per cell: 0.00

Lattice parameters (Å, degrees): 11.6774 6.6865 10.0170 109.50 125.65 90.00
Last column: nearest neighbours and their distance in Å.
Sites, in units of the cell vectors:
1 Dy 0.0000 0.0106 0.0000  4 Ho 3.24-3.58, 2 Y 3.57
2 Dy 0.5000 0.5106 0.0000  4 Ho 3.24-3.58, 2 Y 3.57
3 Dy 0.2630 0.3587 0.5000  4 Ho 3.32-3.69, 2 Y 3.52
4 Dy 0.7370 0.8587 0.5000  4 Ho 3.32-3.69, 2 Y 3.52
5 Y 0.1214 0.6837 0.2533  4 Ho 3.30-3.61, 2 Dy 3.52-3.57, 1 Y 3.66
6 Y 0.8786 0.4304 0.7466  4 Ho 3.30-3.61, 2 Dy 3.52-3.57, 1 Y 3.66
7 Y 0.6319 0.1837 0.2533  4 Ho 3.30-3.61, 2 Dy 3.52-3.57, 1 Y 3.66
8 Y 0.3681 0.9304 0.7467  4 Ho 3.30-3.61, 2 Dy 3.52-3.57, 1 Y 3.66
9 Ho 0.2041 0.6579 0.8956  4 Ho 3.14-3.35, 1 Dy 3.24, 1 Y 3.30
10 Ho 0.7959 0.7623 0.1044  4 Ho 3.14-3.35, 1 Dy 3.24, 1 Y 3.30
11 Ho 0.1915 0.1579 0.8956  4 Ho 3.14-3.35, 1 Dy 3.24, 1 Y 3.30
12 Ho 0.8085 0.2623 0.1044  4 Ho 3.14-3.35, 1 Dy 3.24, 1 Y 3.30
13 Ho 0.3801 0.0334 0.2856  4 Ho 3.14-3.36, 1 Y 3.33, 1 Dy 3.39
14 Ho 0.6199 0.7478 0.7144  4 Ho 3.14-3.36, 1 Y 3.33, 1 Dy 3.39
15 Ho 0.4055 0.5334 0.2856  4 Ho 3.14-3.36, 1 Y 3.33, 1 Dy 3.39
16 Ho 0.5945 0.2478 0.7144  4 Ho 3.14-3.36, 1 Y 3.33, 1 Dy 3.39
17 Ho 0.9951 0.6511 0.5000  4 Ho 3.20-3.35, 1 Dy 3.32
18 Ho 0.0049 0.1511 0.5000  4 Ho 3.20-3.35, 1 Dy 3.32


(6)
## Dy8YHo2 (PBE)

Data for crystalline Dy8YHo2 at its relaxed geometry.

Properties
Theoretical density, g cm⁻³: 7.916
DFT total energy, eV/atom: -4.582
Symmetry: Amm2, No. 38
Formation energy from the elements, eV/atom: 0.185
Spin magnetization, Bohr magnetons per cell: 0.00

Lattice parameters (Å, degrees): 5.3770 8.3314 8.3313 104.98 90.03 90.03
Last column: nearest neighbours and their distance in Å.
Sites, in units of the cell vectors:
1 Dy 0.5001 0.3028 0.0325  7 Dy 3.34-3.67, 2 Ho 3.41-3.65, 2 Y 3.63-3.64
2 Dy 0.5001 0.0325 0.3028  7 Dy 3.34-3.67, 2 Ho 3.41-3.65, 2 Y 3.63-3.64
3 Dy 0.9997 0.3387 0.3387  7 Dy 3.33-3.67, 1 Y 3.41, 4 Ho 3.54
4 Dy 0.0000 0.2575 0.7502  2 Ho 3.17, 1 Y 3.35, 4 Dy 3.53-3.54
5 Dy 0.0000 0.7502 0.2575  2 Ho 3.17, 1 Y 3.35, 4 Dy 3.53-3.54
6 Dy 0.0001 0.6672 0.6672  7 Dy 3.33-3.67, 1 Y 3.41, 4 Ho 3.54
7 Dy 0.5001 0.9736 0.7026  7 Dy 3.34-3.67, 2 Ho 3.41-3.64, 2 Y 3.64
8 Dy 0.5001 0.7026 0.9736  7 Dy 3.34-3.67, 2 Ho 3.41-3.64, 2 Y 3.64
9 Y 0.0001 0.0028 0.0028  12 Dy 3.35-3.64
10 Ho 0.4998 0.6225 0.3835  1 Ho 3.16, 8 Dy 3.17-3.54
11 Ho 0.4998 0.3835 0.6225  1 Ho 3.16, 8 Dy 3.17-3.54


(7)
## Dy5Y2Ho5 (PBE)

Data for crystalline Dy5Y2Ho5 at its relaxed geometry.

Properties
Theoretical density, g cm⁻³: 8.012
DFT total energy, eV/atom: -4.881
Symmetry: C2/m, No. 12
Formation energy from the elements, eV/atom: 0.021
Spin magnetization, Bohr magnetons per cell: 0.00

Lattice parameters (Å, degrees): 5.0017 7.9120 10.6256 72.68 76.39 71.57
Last column: nearest neighbours and their distance in Å.
Sites, in units of the cell vectors:
1 Dy 0.5000 0.5000 0.5000  4 Y 3.54, 6 Ho 3.54-3.55, 2 Dy 3.55
2 Dy 0.3337 0.3326 0.0001  4 Dy 3.53-3.55, 5 Ho 3.53-3.55, 3 Y 3.54-3.55
3 Dy 0.4160 0.9179 0.2502  7 Ho 3.52-3.54, 3 Dy 3.53-3.55, 2 Y 3.55
4 Dy 0.5840 0.0821 0.7498  7 Ho 3.52-3.54, 3 Dy 3.53-3.55, 2 Y 3.55
5 Dy 0.6663 0.6674 0.9999  4 Dy 3.53-3.55, 5 Ho 3.53-3.55, 3 Y 3.54-3.55
6 Y 0.9167 0.4169 0.7496  7 Dy 3.54-3.55, 5 Ho 3.54-3.55
7 Y 0.0833 0.5831 0.2504  7 Dy 3.54-3.55, 5 Ho 3.54-3.55
8 Ho 0.8327 0.8344 0.5002  5 Dy 3.52-3.54, 5 Ho 3.53-3.54, 2 Y 3.54-3.55
9 Ho 0.2494 0.7511 0.7500  6 Dy 3.52-3.55, 4 Ho 3.53-3.54, 2 Y 3.54
10 Ho 0.7506 0.2489 0.2500  6 Dy 3.52-3.55, 4 Ho 3.53-3.54, 2 Y 3.54
11 Ho 0.1673 0.1656 0.4998  5 Dy 3.52-3.54, 5 Ho 3.53-3.54, 2 Y 3.54-3.55
12 Ho 0.0000 0.0000 0.0000  8 Dy 3.53-3.54, 2 Ho 3.53, 2 Y 3.54


(8)
## DyY3Ho2 (PBE)

Data for crystalline DyY3Ho2 at its relaxed geometry.

Properties
Theoretical density, g cm⁻³: 6.639
DFT total energy, eV/atom: -5.501
Symmetry: C2/c, No. 15
Formation energy from the elements, eV/atom: 0.024
Spin magnetization, Bohr magnetons per cell: 0.00

Lattice parameters (Å, degrees): 6.1438 7.1015 9.3997 112.19 89.97 90.00
Last column: nearest neighbours and their distance in Å.
Sites, in units of the cell vectors:
1 Dy 0.7500 0.1250 0.0000  2 Dy 3.55, 8 Y 3.55, 2 Ho 3.55
2 Dy 0.2500 0.8750 0.0000  2 Dy 3.55, 8 Y 3.55, 2 Ho 3.55
3 Y 0.2500 0.3751 0.0000  4 Y 3.55, 4 Dy 3.55, 4 Ho 3.55
4 Y 0.7500 0.6249 0.0000  4 Y 3.55, 4 Dy 3.55, 4 Ho 3.55
5 Y 0.0831 0.2919 0.3337  4 Y 3.55, 6 Ho 3.55, 2 Dy 3.55
6 Y 0.4169 0.9582 0.6663  4 Y 3.55, 6 Ho 3.55, 2 Dy 3.55
7 Y 0.5831 0.0418 0.3337  4 Y 3.55, 6 Ho 3.55, 2 Dy 3.55
8 Y 0.9169 0.7081 0.6663  4 Y 3.55, 6 Ho 3.55, 2 Dy 3.55
9 Ho 0.5830 0.5417 0.3334  8 Y 3.55, 3 Ho 3.55, 1 Dy 3.55
10 Ho 0.0830 0.7917 0.3334  8 Y 3.55, 3 Ho 3.55, 1 Dy 3.55
11 Ho 0.9170 0.2083 0.6666  8 Y 3.55, 3 Ho 3.55, 1 Dy 3.55
12 Ho 0.4170 0.4583 0.6666  8 Y 3.55, 3 Ho 3.55, 1 Dy 3.55


(9)
## Dy7Y12Ho (PBE)

Data for crystalline Dy7Y12Ho at its relaxed geometry.

Properties
Theoretical density, g cm⁻³: 6.060
DFT total energy, eV/atom: -5.436
Symmetry: R-3, No. 148
Formation energy from the elements, eV/atom: 0.282
Spin magnetization, Bohr magnetons per cell: 0.00

Lattice parameters (Å, degrees): 8.6956 8.6956 8.6956 95.10 95.10 95.10
Last column: nearest neighbours and their distance in Å.
Sites, in units of the cell vectors:
1 Dy 0.9142 0.6462 0.9762  2 Y 3.07-3.34, 1 Ho 3.08, 1 Dy 3.10
2 Dy 0.3538 0.0238 0.0858  2 Y 3.07-3.34, 1 Ho 3.08, 1 Dy 3.10
3 Dy 0.0238 0.0858 0.3538  2 Y 3.07-3.34, 1 Ho 3.08, 1 Dy 3.10
4 Dy 0.5000 0.5000 0.5000  6 Y 3.05
5 Dy 0.9762 0.9142 0.6462  2 Y 3.07-3.34, 1 Ho 3.08, 1 Dy 3.10
6 Dy 0.6462 0.9762 0.9142  2 Y 3.07-3.34, 1 Ho 3.08, 1 Dy 3.10
7 Dy 0.0858 0.3538 0.0238  2 Y 3.07-3.34, 1 Ho 3.08, 1 Dy 3.10
8 Y 0.8171 0.2491 0.6894  3 Dy 3.34-3.56, 3 Y 3.37-3.57
9 Y 0.7509 0.3106 0.1829  3 Dy 3.34-3.56, 3 Y 3.37-3.57
10 Y 0.4823 0.1495 0.4182  2 Dy 3.05-3.07, 2 Y 3.10-3.37
11 Y 0.8505 0.5818 0.5177  2 Dy 3.05-3.07, 2 Y 3.10-3.37
12 Y 0.3106 0.1829 0.7509  3 Dy 3.34-3.56, 3 Y 3.37-3.57
13 Y 0.5818 0.5177 0.8505  2 Dy 3.05-3.07, 2 Y 3.10-3.37
14 Y 0.4182 0.4823 0.1495  2 Dy 3.05-3.07, 2 Y 3.10-3.37
15 Y 0.6894 0.8171 0.2491  3 Dy 3.34-3.56, 3 Y 3.37-3.57
16 Y 0.1495 0.4182 0.4823  2 Dy 3.05-3.07, 2 Y 3.10-3.37
17 Y 0.5177 0.8505 0.5818  2 Dy 3.05-3.07, 2 Y 3.10-3.37
18 Y 0.2491 0.6894 0.8171  3 Dy 3.34-3.56, 3 Y 3.37-3.57
19 Y 0.1829 0.7509 0.3106  3 Dy 3.34-3.56, 3 Y 3.37-3.57
20 Ho 0.0000 0.0000 0.0000  6 Dy 3.08